Record 1
A plane-wave DFT calculation with PBE-GGA was carried out for a relaxed structure of Pr3SiTe2.

It has space group C2/c (No. 15), with a = 7.840 Å, b = 13.380 Å, c = 7.681 Å, α = 90.00°, β = 109.65° and γ = 90.00°. The distinct sites, in fractional coordinates, are Pr at (0.221, 0.074, 0.497), Pr at (0.250, 0.250, 0.000), Si at (0.000, 0.088, 0.750), Te at (0.000, 0.257, 0.250) and Te at (0.000, 0.418, 0.750).

The formation energy (no corrections) is -1.2618 eV/atom. For the excess energy over the best structure of this formula in the dataset, the calculation gives 13 meV/atom. The size of the total moment is 0.0 μB/f.u. As for the total DFT energy (no corrections): -5.603 eV/atom.


Record 2
A plane-wave DFT calculation with PBE-GGA was carried out for a relaxed structure of Th2Zn5Ni.

It has space group Cmcm (No. 63), with a = 4.284 Å, b = 16.265 Å, c = 8.904 Å, α = 90.00°, β = 90.00° and γ = 90.00°. The distinct sites, in fractional coordinates, are Th at (0.000, 0.000, 0.000), Th at (0.000, 0.195, 0.250), Zn at (0.000, 0.188, 0.608), Zn at (0.000, 0.353, 0.520), Zn at (0.000, 0.407, 0.250) and Ni at (0.000, 0.442, 0.750).

The value obtained for the formation energy from the elements is -0.2816 eV/atom. The size of the total moment is 0.0 μB/f.u. As for the total DFT energy (no corrections): -3.655 eV/atom.


Record 3
A plane-wave DFT calculation with PBE-GGA was carried out for a relaxed structure of V2S2I.

It has space group I4/mmm (No. 139), with a = 4.189 Å, b = 4.189 Å, c = 12.696 Å, α = 90.00°, β = 90.00° and γ = 90.00°. The distinct sites, in fractional coordinates, are V at (0.000, 0.000, 0.158), S at (0.000, 0.500, 0.250) and I at (0.000, 0.000, 0.500).

The formation energy (no corrections) is -0.2986 eV/atom. For the excess energy over the best structure of this formula in the dataset, the calculation gives 0 meV/atom. The size of the total moment is 5.0 μB/f.u. As for the total DFT energy (no corrections): -5.907 eV/atom.


Record 4
A plane-wave DFT calculation with PBE-GGA was carried out for a relaxed structure of Pr3Sm6Ho2Sc.

It has space group C2/m (No. 12), with a = 6.252 Å, b = 10.834 Å, c = 11.922 Å, α = 90.00°, β = 100.07° and γ = 90.00°. The distinct sites, in fractional coordinates, are Pr at (0.000, 0.000, 0.000), Pr at (0.000, 0.333, 0.000), Sm at (0.246, 0.335, 0.742), Sm at (0.250, 0.000, 0.742), Ho at (0.000, 0.167, 0.500) and Sc at (0.000, 0.500, 0.500).

The value obtained for the formation energy from the elements is 0.0320 eV/atom. The size of the total moment is 0.0 μB/f.u. As for the total DFT energy (no corrections): -4.813 eV/atom.


- Look up the total DFT energy (no corrections) of the second one.
  -3.655 eV/atom